An optimized crystal structure of Zn3CrI. Source: Alexandria, functional PBE.

Calculated values
Space-group type: No. 221
Formation energy from raw total energies: 523 meV per atom
E above lowest polymorph: 0 kJ/mol of formula units
Spin magnetization: 4.796 μB/cell

Geometry as POSCAR:
```
Zn3CrI
1.0
5.1582 0.0000 0.0000
0.0000 5.1582 0.0000
0.0000 0.0000 5.1582
Zn Cr I
3 1 1
Cartesian
0.0000 0.0000 2.5791 Zn
0.0000 2.5791 0.0000 Zn
2.5791 0.0000 0.0000 Zn
0.0000 0.0000 0.0000 Cr
2.5791 2.5791 2.5791 I
```

---

An optimized crystal structure of Rb2PtCl. Source: Alexandria, functional PBE.

Calculated values
Space-group type: No. 122
Formation energy from raw total energies: -375 meV per atom
E above lowest polymorph: 10 kJ/mol of formula units
Spin magnetization: 2.000 μB/cell

Geometry as POSCAR:
```
Rb2PtCl
1.0
-4.4127 4.4127 4.6061
4.4127 -4.4127 4.6061
4.4127 4.4127 -4.6061
Rb Pt Cl
4 2 2
Cartesian
6.6190 1.9952 -1.1515 Rb
1.9952 2.2063 1.1515 Rb
-2.2063 2.4175 3.4546 Rb
2.4175 2.2063 5.7577 Rb
4.4127 0.0000 2.3031 Pt
0.0000 0.0000 4.6061 Pt
0.0000 0.0000 0.0000 Cl
0.0000 4.4127 2.3031 Cl
```

---

An optimized crystal structure of NdEr7Sc4. Source: Alexandria, functional PBE.

Calculated values
Space-group type: No. 2
Spin magnetization: 0.000 μB/cell
Total DFT energy (no corrections): -61.8 eV/f.u.

Geometry as POSCAR:
```
NdEr7Sc4
1.0
6.0054 0.0000 0.0000
-0.0016 6.9351 0.0000
-2.0231 -0.0040 8.2801
Nd Er Sc
1 7 4
Cartesian
0.0000 0.0000 0.0000 Nd
-0.0008 3.4676 0.0000 Er
0.0068 -0.0013 5.4862 Er
1.0127 5.1528 2.8137 Er
2.9811 1.7667 0.0341 Er
0.9996 5.1644 8.2461 Er
2.9680 1.7783 5.4664 Er
3.9739 6.9324 2.7940 Er
-0.0308 3.4630 5.4626 Sc
0.9698 1.7703 2.8014 Sc
3.0109 5.1608 5.4787 Sc
4.0115 3.4681 2.8175 Sc
```

---

An optimized crystal structure of Na2CoHg2. Source: Alexandria, functional PBE.

Calculated values
Space-group type: No. 127
Spin magnetization: 2.808 μB/cell
Total DFT energy (no corrections): -9.3 eV/f.u.

Geometry as POSCAR:
```
Na2CoHg2
1.0
6.9814 0.0000 0.0000
0.0000 6.9814 0.0000
0.0000 0.0000 4.8874
Na Co Hg
4 2 4
Cartesian
1.1842 2.3065 0.0000 Na
2.3065 5.7971 0.0000 Na
4.6749 1.1842 0.0000 Na
5.7971 4.6749 0.0000 Na
0.0000 0.0000 2.4437 Co
3.4907 3.4907 2.4437 Co
1.0745 4.5652 2.4437 Hg
2.4162 1.0745 2.4437 Hg
4.5652 5.9069 2.4437 Hg
5.9069 2.4162 2.4437 Hg
```